Density functional theory data (PBE) for a relaxed structure of LaTbPm5. Values from VASP.

Cell and atoms, written as Quantum ESPRESSO input:
```
&SYSTEM
  ibrav = 0, nat = 7, ntyp = 3
/
ATOMIC_SPECIES
La 138.91 La.upf
Tb 158.93 Tb.upf
Pm 145.00 Pm.upf
ATOMIC_POSITIONS crystal
La 0.000 0.000 0.000
Tb 0.500 0.500 0.500
Pm 0.000 0.000 0.500
Pm 0.253 0.253 0.000
Pm 0.315 0.685 0.000
Pm 0.685 0.315 0.000
Pm 0.747 0.747 0.000
CELL_PARAMETERS angstrom
5.894 -4.490 0.000
5.894 4.490 0.000
-0.011 0.000 5.937
```

## Properties
Symmetry = C2/m


Density functional theory data (PBE) for a relaxed structure of CoReN3. Values from VASP.

Cell and atoms, written as Quantum ESPRESSO input:
```
&SYSTEM
  ibrav = 0, nat = 5, ntyp = 3
/
ATOMIC_SPECIES
Co 58.93 Co.upf
Re 186.21 Re.upf
N 14.01 N.upf
ATOMIC_POSITIONS crystal
Co 0.000 0.000 0.000
Re 0.500 0.500 0.500
N 0.000 0.500 0.500
N 0.500 0.000 0.500
N 0.500 0.500 0.000
CELL_PARAMETERS angstrom
3.864 0.000 0.000
0.000 3.864 0.000
0.000 0.000 3.864
```

## Properties
E_form (uncorrected) = 1.046 eV/atom
Symmetry = Pm-3m


Density functional theory data (PBE) for a relaxed structure of TlZnRe2. Values from VASP.

Cell and atoms, written as Quantum ESPRESSO input:
```
&SYSTEM
  ibrav = 0, nat = 4, ntyp = 3
/
ATOMIC_SPECIES
Tl 204.38 Tl.upf
Zn 65.41 Zn.upf
Re 186.21 Re.upf
ATOMIC_POSITIONS crystal
Tl 0.000 0.000 0.000
Zn 0.500 0.500 0.500
Re 0.244 0.244 0.244
Re 0.756 0.756 0.756
CELL_PARAMETERS angstrom
1.445 0.834 9.222
-1.445 0.834 9.222
0.000 -1.668 9.222
```

## Properties
Symmetry = R-3m


Density functional theory data (PBE) for a relaxed structure of Nb2TlAuC. Values from VASP.

Cell and atoms, written as Quantum ESPRESSO input:
```
&SYSTEM
  ibrav = 0, nat = 5, ntyp = 4
/
ATOMIC_SPECIES
Nb 92.91 Nb.upf
Tl 204.38 Tl.upf
Au 196.97 Au.upf
C 12.01 C.upf
ATOMIC_POSITIONS crystal
Nb 0.000 0.500 0.000
Nb 0.500 0.000 0.000
Tl 0.000 0.000 0.500
Au 0.500 0.500 0.500
C 0.000 0.000 0.000
CELL_PARAMETERS angstrom
4.302 0.000 0.000
0.000 4.302 0.000
0.000 0.000 4.772
```

## Properties
Symmetry = P4/mmm


no.,total energy (eV/atom),DOS at the Fermi energy (states/eV/f.u.)
1,-3.87,9.24
2,-7.86,5.48
3,-6.31,3.65
4,-6.59,2.72